Below is K2SrP after structural relaxation, with properties calculated at the PBE level.

Cell lengths 8.5982, 8.5982, 8.5982 Å; angles 151.43, 140.32, 49.61 degrees
Closest atoms and distances in Å follow each position.
Fractional positions:
K: 0.0000 0.0000 0.0000  2 P 3.27, 2 K 3.62
K: 0.6377 0.1377 0.5000  4 P 3.62, 2 K 3.62, 2 Sr 3.70
Sr: 0.2837 0.2837 0.0000  2 P 2.87
P: 0.1597 0.6597 0.5000  2 Sr 2.87

Calculated values
The calculation puts the formation energy at -24.0 kJ per mole of atoms.

Below is K2RbTlC after structural relaxation, with properties calculated at the PBE level.

Cell lengths 6.4294, 6.4294, 4.6947 Å; angles 90.00, 90.00, 90.00 degrees
Closest atoms and distances in Å follow each position.
Fractional positions:
K: 0.0000 0.5000 0.0000  2 C 3.21
K: 0.5000 0.0000 0.0000  2 C 3.21
Rb: 0.0000 0.0000 0.5000  8 K 3.98
Tl: 0.5000 0.5000 0.5000  2 C 2.35
C: 0.5000 0.5000 0.0000  2 Tl 2.35

Calculated values
The calculation puts the formation energy at 75.6 kJ per mole of atoms.

Below is Ho2Ga2Ni15 after structural relaxation, with properties calculated at the PBE level.

Cell lengths 6.3020, 6.3020, 6.3020 Å; angles 82.50, 82.50, 82.50 degrees
Closest atoms and distances in Å follow each position.
Fractional positions:
Ho: 0.1510 0.1510 0.1510  18 Ni 2.93-3.28, 1 Ga 3.01
Ho: 0.8490 0.8490 0.8490  18 Ni 2.93-3.28, 1 Ga 3.01
Ga: 0.3966 0.3966 0.3966  12 Ni 2.52-2.79, 1 Ga 2.54
Ga: 0.6034 0.6034 0.6034  12 Ni 2.52-2.79, 1 Ga 2.54
Ni: 0.0000 0.5000 0.5000  8 Ni 2.40, 2 Ga 2.52
Ni: 0.1543 0.1543 0.6535  8 Ni 2.40-2.54, 1 Ga 2.57
Ni: 0.1543 0.6535 0.1543  8 Ni 2.40-2.54, 1 Ga 2.57
Ni: 0.2013 0.5000 0.7987  8 Ni 2.40-2.54
Ni: 0.2013 0.7987 0.5000  8 Ni 2.40-2.54
Ni: 0.3465 0.8457 0.8457  8 Ni 2.40-2.54, 1 Ga 2.57
Ni: 0.5000 0.0000 0.5000  8 Ni 2.40, 2 Ga 2.52
Ni: 0.5000 0.2013 0.7987  8 Ni 2.40-2.54
Ni: 0.5000 0.5000 0.0000  8 Ni 2.40, 2 Ga 2.52
Ni: 0.5000 0.7987 0.2013  8 Ni 2.40-2.54
Ni: 0.6535 0.1543 0.1543  8 Ni 2.40-2.54, 1 Ga 2.57
Ni: 0.7987 0.2013 0.5000  8 Ni 2.40-2.54
Ni: 0.7987 0.5000 0.2013  8 Ni 2.40-2.54
Ni: 0.8457 0.3465 0.8457  8 Ni 2.40-2.54, 1 Ga 2.57
Ni: 0.8457 0.8457 0.3465  8 Ni 2.40-2.54, 1 Ga 2.57

Calculated values
The calculation puts the formation energy at -26.2 kJ per mole of atoms.

Below is AgTeF3 after structural relaxation, with properties calculated at the PBE level.

Cell lengths 4.4508, 4.4508, 4.4508 Å; angles 90.00, 90.00, 90.00 degrees
Closest atoms and distances in Å follow each position.
Fractional positions:
Ag: 0.0000 0.0000 0.0000  12 F 3.15
Te: 0.5000 0.5000 0.5000  6 F 2.23
F: 0.0000 0.5000 0.5000  2 Te 2.23
F: 0.5000 0.0000 0.5000  2 Te 2.23
F: 0.5000 0.5000 0.0000  2 Te 2.23

Calculated values
The value obtained for the formation energy (no corrections) is -4.46 eV/f.u. The polymorph energy (0 for the lowest one) is 0 meV per atom.

Below is AcMgCu2Ge2 after structural relaxation, with properties calculated at the PBE level.

Cell lengths 4.2890, 4.2890, 7.4362 Å; angles 90.00, 90.00, 120.00 degrees
Closest atoms and distances in Å follow each position.
Fractional positions:
Ac: 0.0000 0.0000 0.0000  6 Ge 3.25, 6 Cu 3.50
Mg: 0.0000 0.0000 0.5000  6 Cu 2.77, 6 Ge 2.95
Cu: 0.3333 0.6667 0.6674  3 Ge 2.50, 3 Mg 2.77
Cu: 0.6667 0.3333 0.3326  3 Ge 2.50, 3 Mg 2.77
Ge: 0.3333 0.6667 0.2838  3 Cu 2.50
Ge: 0.6667 0.3333 0.7162  3 Cu 2.50

Calculated values
The calculation puts the formation energy at -43.1 kJ per mole of atoms.

Below is TlVNi2 after structural relaxation, with properties calculated at the PBE level.

Cell lengths 5.5496, 5.5496, 5.5496 Å; angles 103.96, 103.96, 121.16 degrees
Closest atoms and distances in Å follow each position.
Fractional positions:
Tl: 0.0000 0.0000 0.0000  8 Ni 2.71-3.02, 2 V 2.73
Tl: 0.7500 0.2500 0.5000  8 Ni 2.71-3.02, 2 V 2.73
V: 0.2500 0.7500 0.5000  4 Ni 2.33
V: 0.5000 0.5000 0.0000  4 Ni 2.33
Ni: 0.1657 0.1250 0.5407  2 V 2.33
Ni: 0.3750 0.8343 0.9593  2 V 2.33
Ni: 0.5843 0.6250 0.4593  2 V 2.33
Ni: 0.8750 0.4157 0.0407  2 V 2.33

Calculated values
The calculation puts the formation energy at 51.6 kJ per mole of atoms. The polymorph energy (0 for the lowest one) is 323 meV per atom.

Below is PmAlInHg after structural relaxation, with properties calculated at the PBE level.

Cell lengths 5.1729, 5.1729, 5.1729 Å; angles 60.00, 60.00, 60.00 degrees
Closest atoms and distances in Å follow each position.
Fractional positions:
Pm: 0.0000 0.0000 0.0000  4 Hg 3.17, 4 Al 3.17
Al: 0.7500 0.7500 0.7500  4 Pm 3.17, 4 In 3.17
In: 0.5000 0.5000 0.5000  4 Al 3.17, 4 Hg 3.17
Hg: 0.2500 0.2500 0.2500  4 In 3.17, 4 Pm 3.17

Calculated values
The calculation puts the formation energy at -17.8 kJ per mole of atoms.

Below is CsSn2Sb2 after structural relaxation, with properties calculated at the PBE level.

Cell lengths 6.9114, 4.5367, 12.4313 Å; angles 90.00, 95.36, 90.00 degrees
Closest atoms and distances in Å follow each position.
Fractional positions:
Cs: 0.1445 0.2500 0.2473  5 Sb 3.89-4.12, 5 Sn 3.97-4.10
Cs: 0.8555 0.7500 0.7527  5 Sb 3.89-4.12, 5 Sn 3.97-4.10
Sn: 0.2858 0.7500 0.0035  3 Sb 2.97-3.02
Sn: 0.4364 0.2500 0.6089  4 Sb 2.94-3.19
Sn: 0.5636 0.7500 0.3911  4 Sb 2.94-3.19
Sn: 0.7142 0.2500 0.9965  3 Sb 2.97-3.02
Sb: 0.2004 0.7500 0.5227  3 Sn 2.94-3.12
Sb: 0.3357 0.2500 0.8540  4 Sn 2.97-3.19
Sb: 0.6643 0.7500 0.1460  4 Sn 2.97-3.19
Sb: 0.7996 0.2500 0.4773  3 Sn 2.94-3.12

Calculated values
The value obtained for the formation energy (no corrections) is -0.78 eV/f.u. The polymorph energy (0 for the lowest one) is 42 meV per atom.